1.
This record from Alexandria describes a relaxed AlReW4 crystal. The functional is PBE.

Unit cell a=5.220 b=5.220 c=5.220 alpha=60.00 beta=60.00 gamma=60.00
Atoms (fractional coordinates):
W1 0.376 0.873 0.376
W2 0.376 0.376 0.376
W3 0.873 0.376 0.376
Al1 0.750 0.750 0.750
Re1 0.000 0.000 0.000
W4 0.376 0.376 0.873

Output
Formation enthalpy at 0 K = 462 meV per atom
Symmetry = F-43m, No. 216
Density of states at the Fermi level = 6.30 states/eV per cell



2.
This record from Alexandria describes a relaxed DyY12Ho3 crystal. The functional is PBE.

Unit cell a=5.036 b=5.036 c=20.140 alpha=90.00 beta=90.00 gamma=90.00
Atoms (fractional coordinates):
Y1 0.500 0.500 0.500
Dy1 0.000 0.000 0.000
Ho1 0.000 0.000 0.250
Ho2 0.000 0.000 0.500
Ho3 0.000 0.000 0.750
Y2 0.000 0.500 0.625
Y3 0.500 0.000 0.375
Y4 0.000 0.500 0.125
Y5 0.500 0.000 0.125
Y6 0.500 0.000 0.625
Y7 0.500 0.000 0.875
Y8 0.500 0.500 0.250
Y9 0.500 0.500 0.000
Y10 0.500 0.500 0.750
Y11 0.000 0.500 0.875
Y12 0.000 0.500 0.375

Output
Formation enthalpy at 0 K = 24 meV per atom
Symmetry = P4/mmm, No. 123
Density of states at the Fermi level = 22.16 states/eV per cell



3.
This record from Alexandria describes a relaxed Ca2PmPaAs4 crystal. The functional is PBE.

Unit cell a=4.240 b=7.295 c=7.265 alpha=109.42 beta=90.00 gamma=90.00
Atoms (fractional coordinates):
As1 0.500 0.767 0.768
Pm1 0.500 0.500 0.000
Pa1 0.000 0.000 0.000
As2 0.000 0.241 0.764
As3 0.500 0.233 0.232
Ca1 0.000 0.500 0.500
Ca2 0.500 0.000 0.500
As4 0.000 0.759 0.236

Output
Formation enthalpy at 0 K = -1275 meV per atom
Symmetry = P2/m, No. 10
Density of states at the Fermi level = 0.01 states/eV per cell



4.
This record from Alexandria describes a relaxed LiSbBr6 crystal. The functional is PBE.

Unit cell a=6.868 b=6.869 c=7.271 alpha=61.81 beta=61.82 gamma=59.99
Atoms (fractional coordinates):
Sb1 0.000 0.000 0.000
Br1 0.606 0.231 0.246
Br2 0.083 0.394 0.754
Br3 0.394 0.769 0.754
Br4 0.231 0.917 0.246
Li1 0.500 0.500 0.500
Br5 0.769 0.083 0.754
Br6 0.917 0.606 0.246

Output
Polymorph energy (0 for the lowest one) = 0.056 eV/atom
Symmetry = R-3, No. 148
ΔE_f (raw) = -13.7 kcal/mol of atoms



5.
This record from Alexandria describes a relaxed Na2LaCl2 crystal. The functional is PBE.

Unit cell a=7.590 b=7.590 c=5.902 alpha=90.00 beta=90.00 gamma=90.00
Each line ends with the local moment (μB).
Atoms (fractional coordinates):
Cl1 0.166 0.334 0.000  0.01
Cl2 0.834 0.666 0.000  0.01
Cl3 0.334 0.834 0.000  0.01
La1 0.000 0.000 0.000  0.18
Na1 0.188 0.312 0.500  0.01
La2 0.500 0.500 0.000  0.19
Cl4 0.666 0.166 0.000  0.01
Na2 0.812 0.688 0.500  0.01
Na3 0.312 0.812 0.500  0.02
Na4 0.688 0.188 0.500  0.02

Output
Polymorph energy (0 for the lowest one) = 0.000 eV/atom
Symmetry = P4/mbm, No. 127
ΔE_f (raw) = -24.5 kcal/mol of atoms
Density of states at the Fermi level = 7.21 states/eV per cell



6.
This record from Alexandria describes a relaxed KSiB3 crystal. The functional is PBE.

Unit cell a=4.191 b=4.191 c=4.191 alpha=90.00 beta=90.00 gamma=90.00
Atoms (fractional coordinates):
B1 0.000 0.500 0.000
B2 0.500 0.000 0.000
K1 0.500 0.500 0.500
Si1 0.000 0.000 0.000
B3 0.000 0.000 0.500

Output
Polymorph energy (0 for the lowest one) = 0.000 eV/atom
Symmetry = Pm-3m, No. 221
ΔE_f (raw) = 34.0 kcal/mol of atoms
Density of states at the Fermi level = 3.01 states/eV per cell



Values for total DFT energy (no corrections), Ry per atom, ordered as above
-0.7991, -0.4388, -0.4322, -0.1915, -0.2437, -0.2821